# 1
Compound: YErGe2
Source: the Alexandria database
Functional: PBE
Structure: relaxed

It has space group P4/mmm (No. 123), with a = 5.297 Å, b = 5.297 Å, c = 3.216 Å, α = 90.00°, β = 90.00° and γ = 90.00°. The inequivalent atoms are Y at (0.000, 0.000, 0.000), Er at (0.500, 0.500, 0.000) and Ge at (0.000, 0.500, 0.500).

The calculation puts the theoretical density at 7.4 Mg/m³. For the size of the total moment, the calculation gives 0.2 μB per formula unit. The calculation puts the energy of formation from the pure elements at -605 meV per atom.

# 2
Compound: YErGe2
Source: the Alexandria database
Functional: PBE
Structure: relaxed

It has space group Amm2 (No. 38), with a = 3.962 Å, b = 4.264 Å, c = 10.699 Å, α = 90.00°, β = 90.00° and γ = 90.00°. The inequivalent atoms are Y at (0.000, 0.000, 0.000), Er at (0.500, 0.000, 0.724), Ge at (0.000, 0.000, 0.276) and Ge at (0.500, 0.000, 0.448).

The calculation puts the theoretical density at 7.4 Mg/m³. For the size of the total moment, the calculation gives 0.0 μB per formula unit. The calculation puts the energy of formation from the pure elements at -874 meV per atom.

Q: energy of formation from the pure elements of number 2 (YErGe2)?
A: -874 meV per atom

Q: What is the formula in the first record?
A: YErGe2

Q: What is the formula in the second record?
A: YErGe2